Compound: ReSiAs
Source: Alexandria via LeMat-Bulk
Functional: PBE
Structure: relaxed

The density of states at the Fermi level comes out at 6.1 states/eV/cell. Its formation energy without anion corrections is 63 meV/atom. As for the theoretical density: 9.4 g/cm³. As for the space-group type: P2_1/c (14). Its distance to the lowest polymorph of the same formula is 0.005 eV per atom. The energy is -7.444 eV per atom.

Lattice parameters (Å, degrees): 5.4781 6.3937 6.3862 90.00 114.66 90.00
Last column: nearest neighbours and their distance in Å.
Fractional positions:
Re 0.2236 0.0252 0.0040  3 Si 2.44-2.65, 1 Re 2.45, 3 As 2.56-2.62
Re 0.2236 0.4748 0.5040  3 Si 2.44-2.65, 1 Re 2.45, 3 As 2.56-2.62
Re 0.7764 0.5252 0.4960  3 Si 2.44-2.65, 1 Re 2.45, 3 As 2.56-2.62
Re 0.7764 0.9748 0.9960  3 Si 2.44-2.65, 1 Re 2.45, 3 As 2.56-2.62
Si 0.1663 0.6731 0.8450  3 Re 2.44-2.65, 1 As 2.48
Si 0.1663 0.8269 0.3450  3 Re 2.44-2.65, 1 As 2.48
Si 0.8337 0.1731 0.6550  3 Re 2.44-2.65, 1 As 2.48
Si 0.8337 0.3269 0.1550  3 Re 2.44-2.65, 1 As 2.48
As 0.3427 0.0907 0.6579  2 Si 2.48-2.75, 3 Re 2.56-2.62
As 0.3427 0.4093 0.1579  2 Si 2.48-2.75, 3 Re 2.56-2.62
As 0.6573 0.5907 0.8421  2 Si 2.48-2.75, 3 Re 2.56-2.62
As 0.6573 0.9093 0.3421  2 Si 2.48-2.75, 3 Re 2.56-2.62

Compound: Re2SiAs
Source: Alexandria via LeMat-Bulk
Functional: PBE
Structure: relaxed

The density of states at the Fermi level comes out at 1.8 states/eV/cell. Its formation energy without anion corrections is 58 meV/atom. As for the theoretical density: 14.1 g/cm³. As for the space-group type: P2/m (10). Its distance to the lowest polymorph of the same formula is 0.054 eV per atom. The energy is -8.685 eV per atom.

Lattice parameters (Å, degrees): 3.0306 3.0385 6.0888 90.00 90.13 90.00
Last column: nearest neighbours and their distance in Å.
Fractional positions:
Re 0.9997 0.0000 0.2415  4 Si 2.60, 4 As 2.66
Re 0.0003 0.0000 0.7585  4 Si 2.60, 4 As 2.66
Si 0.5000 0.5000 0.0000  8 Re 2.60
As 0.5000 0.5000 0.5000  8 Re 2.66

Compound: ReSi2As
Source: Alexandria via LeMat-Bulk
Functional: PBE
Structure: relaxed

The density of states at the Fermi level comes out at 5.3 states/eV/cell. Its formation energy without anion corrections is 418 meV/atom. As for the theoretical density: 9.1 g/cm³. As for the space-group type: Cmmm (65). The energy is -6.568 eV per atom.

Lattice parameters (Å, degrees): 5.3169 7.2426 3.0020 90.00 90.00 90.00
Last column: nearest neighbours and their distance in Å.
Fractional positions:
Re 0.0000 0.0000 0.0000  2 As 2.66, 8 Si 2.70
Re 0.5000 0.5000 0.0000  2 As 2.66, 8 Si 2.70
Si 0.2500 0.2500 0.5000  2 Si 2.66, 4 As 2.70, 4 Re 2.70
Si 0.2500 0.7500 0.5000  2 Si 2.66, 4 As 2.70, 4 Re 2.70
Si 0.7500 0.2500 0.5000  2 Si 2.66, 4 As 2.70, 4 Re 2.70
Si 0.7500 0.7500 0.5000  2 Si 2.66, 4 As 2.70, 4 Re 2.70
As 0.0000 0.5000 0.0000  2 Re 2.66, 8 Si 2.70
As 0.5000 0.0000 0.0000  2 Re 2.66, 8 Si 2.70

Compound: ReSi2As
Source: Alexandria via LeMat-Bulk
Functional: PBE
Structure: relaxed

The density of states at the Fermi level comes out at 2.4 states/eV/cell. Its formation energy without anion corrections is 204 meV/atom. As for the theoretical density: 8.2 g/cm³. As for the space-group type: Cm (8). The energy is -6.781 eV per atom.

Lattice parameters (Å, degrees): 8.3387 3.1337 4.9540 90.00 95.66 90.00
Last column: nearest neighbours and their distance in Å.
Fractional positions:
Re 0.0000 0.0000 0.0000  5 Si 2.43-2.53, 2 As 2.64
Re 0.5000 0.5000 0.0000  5 Si 2.43-2.53, 2 As 2.64
Si 0.0008 0.5000 0.6095  1 Si 2.37, 1 As 2.42, 2 Re 2.49
Si 0.2698 0.0000 0.8536  1 Si 2.37, 3 Re 2.43-2.53
Si 0.5008 0.0000 0.6095  1 Si 2.37, 1 As 2.42, 2 Re 2.49
Si 0.7698 0.5000 0.8536  1 Si 2.37, 3 Re 2.43-2.53
As 0.2049 0.5000 0.2932  1 Si 2.42, 2 Re 2.64
As 0.7049 0.0000 0.2932  1 Si 2.42, 2 Re 2.64

Compound: ReSi2As
Source: Alexandria via LeMat-Bulk
Functional: PBE
Structure: relaxed

The density of states at the Fermi level comes out at 3.3 states/eV/cell. Its formation energy without anion corrections is 387 meV/atom. As for the theoretical density: 9.0 g/cm³. As for the space-group type: Immm (71). The energy is -6.599 eV per atom.

Lattice parameters (Å, degrees): 3.2412 4.6445 7.7917 90.00 90.00 90.00
Last column: nearest neighbours and their distance in Å.
Fractional positions:
Re 0.0000 0.0000 0.0000  4 Si 2.59, 4 As 2.83
Re 0.5000 0.5000 0.5000  4 Si 2.59, 4 As 2.83
Si 0.0000 0.5000 0.2402  2 As 2.48, 2 Re 2.59
Si 0.0000 0.5000 0.7598  2 As 2.48, 2 Re 2.59
Si 0.5000 0.0000 0.2598  2 As 2.48, 2 Re 2.59
Si 0.5000 0.0000 0.7402  2 As 2.48, 2 Re 2.59
As 0.0000 0.0000 0.5000  4 Si 2.48
As 0.5000 0.5000 0.0000  4 Si 2.48

Compound: Re4SiAs
Source: Alexandria via LeMat-Bulk
Functional: PBE
Structure: relaxed

The density of states at the Fermi level comes out at 5.7 states/eV/cell. Its formation energy without anion corrections is 834 meV/atom. As for the theoretical density: 14.2 g/cm³. As for the space-group type: F-43m (216). The energy is -9.143 eV per atom.

Lattice parameters (Å, degrees): 5.1979 5.1979 5.1979 60.00 60.00 60.00
Last column: nearest neighbours and their distance in Å.
Fractional positions:
Re 0.1252 0.1252 0.1252  6 Re 2.59-2.60
Re 0.1252 0.1252 0.6243  6 Re 2.59-2.60
Re 0.1252 0.6243 0.1252  6 Re 2.59-2.60
Re 0.6243 0.1252 0.1252  6 Re 2.59-2.60
Si 0.7500 0.7500 0.7500  12 Re 3.05, 4 As 3.18
As 0.5000 0.5000 0.5000  12 Re 3.05, 4 Si 3.18

Compound: ReSiAs
Source: Alexandria via LeMat-Bulk
Functional: PBE
Structure: relaxed

The density of states at the Fermi level comes out at 2.2 states/eV/cell. Its formation energy without anion corrections is 233 meV/atom. As for the theoretical density: 9.6 g/cm³. As for the space-group type: I4mm (107). Its distance to the lowest polymorph of the same formula is 0.175 eV per atom. The energy is -7.274 eV per atom.

Lattice parameters (Å, degrees): 3.0353 3.0353 10.8316 90.00 90.00 90.00
Last column: nearest neighbours and their distance in Å.
Fractional positions:
Re 0.0000 0.0000 0.0000  4 Si 2.55, 4 As 2.66
Re 0.5000 0.5000 0.5000  4 Si 2.55, 4 As 2.66
Si 0.0000 0.0000 0.3730  4 Re 2.55
Si 0.5000 0.5000 0.8730  4 Re 2.55
As 0.0000 0.0000 0.6445  4 Re 2.66, 1 Si 2.94
As 0.5000 0.5000 0.1445  4 Re 2.66, 1 Si 2.94

Compound: ReSiAs
Source: Alexandria via LeMat-Bulk
Functional: PBE
Structure: relaxed

The density of states at the Fermi level comes out at 11.7 states/eV/cell. Its formation energy without anion corrections is 676 meV/atom. As for the theoretical density: 9.6 g/cm³. As for the space-group type: F-43m (216). Its distance to the lowest polymorph of the same formula is 0.618 eV per atom. The energy is -6.831 eV per atom.

Lattice parameters (Å, degrees): 5.8510 5.8510 5.8510 90.00 90.00 90.00
Last column: nearest neighbours and their distance in Å.
Fractional positions:
Re 0.0000 0.0000 0.0000  4 Si 2.53
Re 0.0000 0.5000 0.5000  4 Si 2.53
Re 0.5000 0.0000 0.5000  4 Si 2.53
Re 0.5000 0.5000 0.0000  4 Si 2.53
Si 0.2500 0.2500 0.2500  4 As 2.53, 4 Re 2.53
Si 0.2500 0.7500 0.7500  4 As 2.53, 4 Re 2.53
Si 0.7500 0.2500 0.7500  4 As 2.53, 4 Re 2.53
Si 0.7500 0.7500 0.2500  4 As 2.53, 4 Re 2.53
As 0.0000 0.0000 0.5000  4 Si 2.53
As 0.0000 0.5000 0.0000  4 Si 2.53
As 0.5000 0.0000 0.0000  4 Si 2.53
As 0.5000 0.5000 0.5000  4 Si 2.53